[1]
DFT (PBE with a Hubbard U) results for crystalline K3Li2MnF8 at its relaxed geometry.

* symmetry: P-3m1
* calculated total energy: -65.8 eV for the cell shown

abc: 5.6823 5.6823 7.5031
angles: 90.00 90.00 120.00
Closest atoms and distances in Å follow each position.
Sites, in units of the cell vectors:
K1 0.0000 0.0000 0.0000  12 F 3.06-3.28
K2 0.3333 0.6667 0.6702  1 F 2.44
K3 0.6667 0.3333 0.3298  1 F 2.44
Li1 0.3333 0.6667 0.2290  4 F 1.75-1.95
Li2 0.6667 0.3333 0.7710  4 F 1.75-1.95
Mn1 0.0000 0.0000 0.5000  6 F 1.92
F1 0.1588 0.3175 0.3507  1 Mn 1.92, 1 Li 1.95
F2 0.1588 0.8412 0.3507  1 Mn 1.92, 1 Li 1.95
F3 0.3175 0.1588 0.6493  1 Mn 1.92, 1 Li 1.95
F4 0.3333 0.6667 0.9954  1 Li 1.75
F5 0.6667 0.3333 0.0046  1 Li 1.75
F6 0.6825 0.8412 0.3507  1 Mn 1.92, 1 Li 1.95
F7 0.8412 0.1588 0.6493  1 Mn 1.92, 1 Li 1.95
F8 0.8412 0.6825 0.6493  1 Mn 1.92, 1 Li 1.95

[2]
DFT (PBE with a Hubbard U) results for crystalline KLi3Mn4F12 at its relaxed geometry.

* symmetry: Im-3
* calculated total energy: -114.3 eV for the cell shown

abc: 6.8948 6.8948 6.8948
angles: 109.47 109.47 109.47
Closest atoms and distances in Å follow each position.
Sites, in units of the cell vectors:
K1 0.0000 0.0000 0.0000  12 F 2.86
Li1 0.0000 0.5000 0.5000  4 F 2.01
Li2 0.5000 0.0000 0.5000  4 F 2.01
Li3 0.5000 0.5000 0.0000  4 F 2.01
Mn1 0.0000 0.0000 0.5000  6 F 2.15
Mn2 0.0000 0.5000 0.0000  6 F 2.15
Mn3 0.5000 0.0000 0.0000  6 F 2.15
Mn4 0.5000 0.5000 0.5000  6 F 2.15
F1 0.1428 0.8273 0.3155  1 Li 2.01, 2 Mn 2.15
F2 0.1727 0.3155 0.4883  1 Li 2.01, 2 Mn 2.15
F3 0.1727 0.6845 0.8572  1 Li 2.01, 2 Mn 2.15
F4 0.3155 0.1428 0.8273  1 Li 2.01, 2 Mn 2.15
F5 0.3155 0.4883 0.1727  1 Li 2.01, 2 Mn 2.15
F6 0.4883 0.1727 0.3155  1 Li 2.01, 2 Mn 2.15
F7 0.5117 0.8273 0.6845  1 Li 2.01, 2 Mn 2.15
F8 0.6845 0.5117 0.8273  1 Li 2.01, 2 Mn 2.15
F9 0.6845 0.8572 0.1727  1 Li 2.01, 2 Mn 2.15
F10 0.8273 0.3155 0.1428  1 Li 2.01, 2 Mn 2.15
F11 0.8273 0.6845 0.5117  1 Li 2.01, 2 Mn 2.15
F12 0.8572 0.1727 0.6845  1 Li 2.01, 2 Mn 2.15

[3]
DFT (PBE with a Hubbard U) results for crystalline KLiMnF6 at its relaxed geometry.

* symmetry: C2
* calculated total energy: -45.1 eV for the cell shown

abc: 5.2194 5.2194 5.7387
angles: 90.03 90.03 120.06
Closest atoms and distances in Å follow each position.
Sites, in units of the cell vectors:
K1 0.0000 0.0000 0.0000  6 F 2.66-2.67
Li1 0.6664 0.3336 0.5000  6 F 2.06
Mn1 0.3332 0.6668 0.5000  6 F 1.85
F1 0.0306 0.3881 0.3166  1 Mn 1.85, 1 Li 2.06
F2 0.0314 0.6431 0.6835  1 Mn 1.85, 1 Li 2.06
F3 0.3575 0.3890 0.6836  1 Mn 1.85, 1 Li 2.06
F4 0.3569 0.9686 0.3165  1 Mn 1.85, 1 Li 2.06
F5 0.6110 0.6425 0.3164  1 Mn 1.85, 1 Li 2.06
F6 0.6119 0.9694 0.6834  1 Mn 1.85, 1 Li 2.06

[4]
DFT (PBE with a Hubbard U) results for crystalline KLiMn2F8 at its relaxed geometry.

* symmetry: P-3
* calculated total energy: -62.5 eV for the cell shown

abc: 5.3304 5.3304 6.6316
angles: 90.00 90.00 120.00
Closest atoms and distances in Å follow each position.
Sites, in units of the cell vectors:
K1 0.0000 0.0000 0.0000  12 F 2.98-3.18, 2 Li 3.32
Li1 0.0000 0.0000 0.5000  6 F 2.00
Mn1 0.3333 0.6667 0.6081  4 F 1.81-2.01
Mn2 0.6667 0.3333 0.3919  4 F 1.81-2.01
F1 0.0521 0.6954 0.3613  1 Li 2.00, 1 Mn 2.01
F2 0.3046 0.3567 0.3613  1 Li 2.00, 1 Mn 2.01
F3 0.3333 0.6667 0.8809  1 Mn 1.81
F4 0.3567 0.0521 0.6387  1 Li 2.00, 1 Mn 2.01
F5 0.6433 0.9479 0.3613  1 Li 2.00, 1 Mn 2.01
F6 0.6667 0.3333 0.1191  1 Mn 1.81
F7 0.6954 0.6433 0.6387  1 Li 2.00, 1 Mn 2.01
F8 0.9479 0.3046 0.6387  1 Li 2.00, 1 Mn 2.01

[5]
DFT (PBE with a Hubbard U) results for crystalline K2Li3MoF12 at its relaxed geometry.

* symmetry: R-3m
* calculated total energy: -79.8 eV for the cell shown

abc: 7.9103 7.9103 7.9103
angles: 52.52 52.52 52.52
Closest atoms and distances in Å follow each position.
Sites, in units of the cell vectors:
K1 0.0842 0.0842 0.0842  3 F 2.70
K2 0.9158 0.9158 0.9158  3 F 2.70
Li1 0.0000 0.5000 0.5000  4 F 1.92
Li2 0.5000 0.0000 0.5000  4 F 1.92
Li3 0.5000 0.5000 0.0000  4 F 1.92
Mo1 0.5000 0.5000 0.5000  6 F 1.91
F1 0.1742 0.1742 0.5802  2 Li 1.92
F2 0.1742 0.5802 0.1742  2 Li 1.92
F3 0.1854 0.5798 0.5798  1 Mo 1.91
F4 0.4202 0.4202 0.8146  1 Mo 1.91
F5 0.4202 0.8146 0.4202  1 Mo 1.91
F6 0.4198 0.8258 0.8258  2 Li 1.92
F7 0.5802 0.1742 0.1742  2 Li 1.92
F8 0.5798 0.1854 0.5798  1 Mo 1.91
F9 0.5798 0.5798 0.1854  1 Mo 1.91
F10 0.8146 0.4202 0.4202  1 Mo 1.91
F11 0.8258 0.4198 0.8258  2 Li 1.92
F12 0.8258 0.8258 0.4198  2 Li 1.92

[6]
DFT (PBE with a Hubbard U) results for crystalline KLiMoF2 at its relaxed geometry.

* symmetry: P4/mmm
* calculated total energy: -18.3 eV for the cell shown

abc: 4.4919 4.4919 5.0381
angles: 90.00 90.00 90.00
Closest atoms and distances in Å follow each position.
Sites, in units of the cell vectors:
K1 0.0000 0.0000 0.0000  4 Mo 3.18, 8 F 3.37
Li1 0.5000 0.5000 0.5000  4 F 2.25
Mo1 0.5000 0.5000 0.0000  2 Li 2.52
F1 0.0000 0.5000 0.5000  2 Li 2.25
F2 0.5000 0.0000 0.5000  2 Li 2.25

[7]
DFT (PBE with a Hubbard U) results for crystalline K3Li2MoF9 at its relaxed geometry.

* symmetry: P-3m1
* calculated total energy: -72.1 eV for the cell shown

abc: 5.8614 5.8614 7.4344
angles: 90.00 90.00 120.00
Closest atoms and distances in Å follow each position.
Sites, in units of the cell vectors:
K1 0.0000 0.0000 0.0000  12 F 2.93-3.05
K2 0.3333 0.6667 0.7181  9 F 2.69-2.97, 1 Li 2.98
K3 0.6667 0.3333 0.2819  9 F 2.69-2.97, 1 Li 2.98
Li1 0.3333 0.6667 0.1184  3 F 1.91
Li2 0.6667 0.3333 0.8816  3 F 1.91
Mo1 0.0000 0.0000 0.5000  6 F 2.00
F1 0.0000 0.5000 0.0000  2 Li 1.91
F2 0.1615 0.3231 0.3458  1 Mo 2.00
F3 0.1615 0.8385 0.3458  1 Mo 2.00
F4 0.3231 0.1615 0.6542  1 Mo 2.00
F5 0.5000 0.0000 0.0000  2 Li 1.91
F6 0.5000 0.5000 0.0000  2 Li 1.91
F7 0.6769 0.8385 0.3458  1 Mo 2.00
F8 0.8385 0.1615 0.6542  1 Mo 2.00
F9 0.8385 0.6769 0.6542  1 Mo 2.00